The following is a GGA-PBE calculation of a geometry-optimized CeIn2CoHg structure, from Alexandria.

a = 5.0497 Å, b = 5.0497 Å, c = 4.7560 Å
α = 90.00°, β = 90.00°, γ = 90.00°
With the nearest neighbours (Å) after each atom.
Fractional positions:
1 Ce 0.0000 0.0000 0.0000  2 Co 2.38
2 In 0.0000 0.5000 0.5000  2 Co 2.52
3 In 0.5000 0.0000 0.5000  2 Co 2.52
4 Co 0.0000 0.0000 0.5000  2 Ce 2.38, 4 In 2.52
5 Hg 0.5000 0.5000 0.0000  8 In 3.47, 4 Ce 3.57

* calculated formation energy: -30.5 kJ/mol of atoms
* total DFT energy (no corrections): -4.08 eV per atom